Entry 1:
# PmAlZn3Au (GGA-PBE, optimized geometry)
# - N(E_F): 0.33 states/eV per atom
# - Crystal system: orthorhombic
# - E_form: -1.1 eV/f.u.
# - V: 237.1 Å³ per cell
data_PmAlZn3Au
_chemical_formula_sum 'Pm2 Al2 Zn6 Au2'
_cell_length_a 5.884
_cell_length_b 6.204
_cell_length_c 7.198
_cell_angle_alpha 115.53
_cell_angle_beta 90.00
_cell_angle_gamma 90.00
_space_group_name_H-M_alt 'P 1'
_space_group_IT_number 1
loop_
_space_group_symop_operation_xyz
'x,y,z'
loop_
_atom_site_label
_atom_site_fract_x
_atom_site_fract_y
_atom_site_fract_z
Au1 0.250 0.337 0.674
Au2 0.750 0.663 0.326
Zn1 0.000 0.303 0.000
Zn2 0.750 0.870 0.741
Zn3 0.000 0.697 0.000
Zn4 0.500 0.697 0.000
Zn5 0.500 0.303 0.000
Zn6 0.250 0.130 0.259
Pm1 0.750 0.297 0.595
Pm2 0.250 0.703 0.405
Al1 0.250 0.927 0.854
Al2 0.750 0.073 0.146

Entry 2:
# Pm3AlZn6Au2 (GGA-PBE, optimized geometry)
# - N(E_F): 0.62 states/eV per atom
# - Crystal system: trigonal
# - E_form: -3.3 eV/f.u.
# - V: 250.1 Å³ per cell
data_Pm3AlZn6Au2
_chemical_formula_sum 'Pm3 Al1 Zn6 Au2'
_cell_length_a 5.544
_cell_length_b 5.544
_cell_length_c 9.393
_cell_angle_alpha 90.00
_cell_angle_beta 90.00
_cell_angle_gamma 120.00
_space_group_name_H-M_alt 'P 1'
_space_group_IT_number 1
loop_
_space_group_symop_operation_xyz
'x,y,z'
loop_
_atom_site_label
_atom_site_fract_x
_atom_site_fract_y
_atom_site_fract_z
Zn1 0.343 0.171 0.729
Zn2 0.171 0.343 0.271
Zn3 0.657 0.829 0.271
Zn4 0.829 0.657 0.729
Zn5 0.829 0.171 0.729
Zn6 0.171 0.829 0.271
Pm1 0.333 0.667 0.588
Pm2 0.000 0.000 0.000
Pm3 0.667 0.333 0.412
Au1 0.667 0.333 0.970
Au2 0.333 0.667 0.030
Al1 0.000 0.000 0.500

Entry 3:
# PmAlZnAu (GGA-PBE, optimized geometry)
# - N(E_F): 0.43 states/eV per atom
# - Crystal system: cubic
# - E_form: -2.0 eV/f.u.
# - V: 81.3 Å³ per cell
data_PmAlZnAu
_chemical_formula_sum 'Pm1 Al1 Zn1 Au1'
_cell_length_a 4.863
_cell_length_b 4.863
_cell_length_c 4.863
_cell_angle_alpha 60.00
_cell_angle_beta 60.00
_cell_angle_gamma 60.00
_space_group_name_H-M_alt 'P 1'
_space_group_IT_number 1
loop_
_space_group_symop_operation_xyz
'x,y,z'
loop_
_atom_site_label
_atom_site_fract_x
_atom_site_fract_y
_atom_site_fract_z
Pm1 0.500 0.500 0.500
Zn1 0.250 0.250 0.250
Al1 0.000 0.000 0.000
Au1 0.750 0.750 0.750

Entry 4:
# PmAl2ZnAu4 (GGA-PBE, optimized geometry)
# - N(E_F): 0.37 states/eV per atom
# - Crystal system: trigonal
# - E_form: -4.1 eV/f.u.
# - V: 152.9 Å³ per cell
data_PmAl2ZnAu4
_chemical_formula_sum 'Pm1 Al2 Zn1 Au4'
_cell_length_a 4.437
_cell_length_b 4.437
_cell_length_c 9.325
_cell_angle_alpha 76.24
_cell_angle_beta 76.24
_cell_angle_gamma 60.00
_space_group_name_H-M_alt 'P 1'
_space_group_IT_number 1
loop_
_space_group_symop_operation_xyz
'x,y,z'
loop_
_atom_site_label
_atom_site_fract_x
_atom_site_fract_y
_atom_site_fract_z
Al1 0.242 0.242 0.274
Al2 0.758 0.758 0.726
Zn1 0.500 0.500 0.500
Au1 0.133 0.133 0.600
Au2 0.398 0.398 0.806
Au3 0.867 0.867 0.400
Au4 0.602 0.602 0.194
Pm1 0.000 0.000 0.000

Entry 5:
# Pm2AlZnAu6 (GGA-PBE, optimized geometry)
# - N(E_F): 0.51 states/eV per atom
# - Crystal system: triclinic
# - E_form: -5.0 eV/f.u.
# - V: 218.4 Å³ per cell
data_Pm2AlZnAu6
_chemical_formula_sum 'Pm2 Al1 Zn1 Au6'
_cell_length_a 5.533
_cell_length_b 8.952
_cell_length_c 6.838
_cell_angle_alpha 49.57
_cell_angle_beta 65.08
_cell_angle_gamma 88.45
_space_group_name_H-M_alt 'P 1'
_space_group_IT_number 1
loop_
_space_group_symop_operation_xyz
'x,y,z'
loop_
_atom_site_label
_atom_site_fract_x
_atom_site_fract_y
_atom_site_fract_z
Pm1 0.746 0.229 0.513
Pm2 0.254 0.771 0.487
Au1 0.238 0.400 0.503
Au2 0.297 0.791 0.908
Au3 0.777 0.771 0.948
Au4 0.223 0.229 0.052
Au5 0.762 0.600 0.497
Au6 0.703 0.209 0.092
Al1 0.500 0.500 0.000
Zn1 0.000 0.000 0.000

Entry 6:
# PmAl2ZnAu2 (GGA-PBE, optimized geometry)
# - N(E_F): 0.33 states/eV per atom
# - Crystal system: trigonal
# - E_form: -3.3 eV/f.u.
# - V: 118.0 Å³ per cell
data_PmAl2ZnAu2
_chemical_formula_sum 'Pm1 Al2 Zn1 Au2'
_cell_length_a 4.422
_cell_length_b 4.422
_cell_length_c 6.964
_cell_angle_alpha 90.00
_cell_angle_beta 90.00
_cell_angle_gamma 120.00
_space_group_name_H-M_alt 'P 1'
_space_group_IT_number 1
loop_
_space_group_symop_operation_xyz
'x,y,z'
loop_
_atom_site_label
_atom_site_fract_x
_atom_site_fract_y
_atom_site_fract_z
Al1 0.667 0.333 0.691
Al2 0.333 0.667 0.309
Au1 0.667 0.333 0.285
Au2 0.333 0.667 0.715
Zn1 0.000 0.000 0.500
Pm1 0.000 0.000 0.000

Entry 7:
# Pm2Al4ZnAu3 (GGA-PBE, optimized geometry)
# - N(E_F): 0.47 states/eV per atom
# - Crystal system: tetragonal
# - E_form: -6.8 eV/f.u.
# - V: 201.3 Å³ per cell
data_Pm2Al4ZnAu3
_chemical_formula_sum 'Pm2 Al4 Zn1 Au3'
_cell_length_a 4.355
_cell_length_b 4.355
_cell_length_c 10.615
_cell_angle_alpha 90.00
_cell_angle_beta 90.00
_cell_angle_gamma 90.00
_space_group_name_H-M_alt 'P 1'
_space_group_IT_number 1
loop_
_space_group_symop_operation_xyz
'x,y,z'
loop_
_atom_site_label
_atom_site_fract_x
_atom_site_fract_y
_atom_site_fract_z
Pm1 0.000 0.500 0.746
Pm2 0.500 0.000 0.254
Au1 0.000 0.500 0.131
Au2 0.500 0.000 0.869
Au3 0.000 0.000 0.500
Al1 0.000 0.500 0.367
Al2 0.500 0.000 0.633
Al3 0.500 0.500 0.000
Al4 0.000 0.000 0.000
Zn1 0.500 0.500 0.500

Entry 8:
# Pm2AlZn4Au3 (GGA-PBE, optimized geometry)
# - N(E_F): 0.38 states/eV per atom
# - Crystal system: tetragonal
# - E_form: -5.2 eV/f.u.
# - V: 200.7 Å³ per cell
data_Pm2AlZn4Au3
_chemical_formula_sum 'Pm2 Al1 Zn4 Au3'
_cell_length_a 4.147
_cell_length_b 4.147
_cell_length_c 11.668
_cell_angle_alpha 90.00
_cell_angle_beta 90.00
_cell_angle_gamma 90.00
_space_group_name_H-M_alt 'P 1'
_space_group_IT_number 1
loop_
_space_group_symop_operation_xyz
'x,y,z'
loop_
_atom_site_label
_atom_site_fract_x
_atom_site_fract_y
_atom_site_fract_z
Au1 0.000 0.000 0.500
Au2 0.000 0.500 0.144
Au3 0.500 0.000 0.856
Zn1 0.500 0.500 0.000
Zn2 0.000 0.000 0.000
Zn3 0.000 0.500 0.364
Zn4 0.500 0.000 0.636
Al1 0.500 0.500 0.500
Pm1 0.500 0.000 0.255
Pm2 0.000 0.500 0.745

- What is the formula in the second record?
  Pm3AlZn6Au2